Here is a relaxed LaSc2Cd2In2 crystal from Alexandria via LeMat-Bulk. Energies are from PBE.

The structure in POSCAR format:
```
LaSc2Cd2In2
1.0
2.4449 1.4115 8.6692
-2.4449 1.4115 8.6692
0.0000 -2.8231 8.6692
La Sc Cd In
1 2 2 2
Cartesian
0.0000 0.0000 0.0000
0.0000 0.0000 3.5792
0.0000 0.0000 22.4284
0.0000 0.0000 11.4003
0.0000 0.0000 14.6072
0.0000 0.0000 6.7568
0.0000 0.0000 19.2507
```

Crystal system: trigonal
Energy relative to the elements: -0.2911 eV/atom

=====

Here is a relaxed LaScCdIn2 crystal from Alexandria via LeMat-Bulk. Energies are from PBE.

The structure in POSCAR format:
```
LaScCdIn2
1.0
5.8660 0.0000 0.0000
0.0000 5.8660 0.0000
0.0000 0.0000 5.7624
La Sc Cd In
1 1 1 2
Cartesian
0.0000 0.0000 0.0000
2.9330 2.9330 2.8812
0.0000 0.0000 2.8812
0.0000 2.9330 0.0000
2.9330 0.0000 0.0000
```

Crystal system: tetragonal
Energy relative to the elements: 0.8672 eV/atom

=====

Here is a relaxed La2SmCd2In2 crystal from Alexandria via LeMat-Bulk. Energies are from PBE.

The structure in POSCAR format:
```
La2SmCd2In2
1.0
2.5000 1.4434 9.3040
-2.5000 1.4434 9.3040
0.0000 -2.8868 9.3040
La Sm Cd In
2 1 2 2
Cartesian
0.0000 0.0000 3.6218
0.0000 0.0000 24.2902
0.0000 0.0000 0.0000
0.0000 0.0000 11.0231
0.0000 0.0000 16.8888
0.0000 0.0000 7.3926
0.0000 0.0000 20.5194
```

Crystal system: trigonal
Energy relative to the elements: -0.3194 eV/atom

=====

| no. | E (eV for the cell shown) |
| --- | --- |
| 1 | -26.94 |
| 2 | -13.31 |
| 3 | -24.12 |